# LaCoNF2 | Alexandria | PBE with a Hubbard U | relaxed
data_LaCoNF2
_chemical_formula_sum 'La1 Co1 N1 F2'
_space_group_name_H-M_alt 'P 1'
_space_group_IT_number 1
_space_group_name_Hall 'P 1'
_cell_length_a 4.018
_cell_length_b 4.018
_cell_length_c 4.038
_cell_angle_alpha 90.00
_cell_angle_beta 90.00
_cell_angle_gamma 90.00
loop_
_atom_site_label
_atom_site_type_symbol
_atom_site_fract_x
_atom_site_fract_y
_atom_site_fract_z
_atom_site_occupancy
Co1 Co 0.000 0.000 0.000 1
F1 F 0.500 0.000 0.000 1
La1 La 0.500 0.500 0.500 1
F2 F 0.000 0.500 0.000 1
N1 N 0.000 0.000 0.500 1
# Distance to the lowest polymorph of the same formula   0.0 kJ/mol of formula units